(1)
# CePr2Ge3Pd4 (PBE-GGA, relaxed)
data_CePr2Ge3Pd4
_chemical_formula_sum 'Ce1 Pr2 Ge3 Pd4'
_cell_length_a 4.3615
_cell_length_b 4.3615
_cell_length_c 11.1621
_cell_angle_alpha 90.00
_cell_angle_beta 90.00
_cell_angle_gamma 90.00
_space_group_name_H-M_alt 'P -4 m 2'
_space_group_IT_number 115
_space_group_name_Hall 'P -4 -2'
loop_
_atom_site_label
_atom_site_type_symbol
_atom_site_fract_x
_atom_site_fract_y
_atom_site_fract_z
_atom_site_occupancy
Ce1 Ce 0.0000 0.0000 0.0000 1
Pr1 Pr 0.0000 0.5000 0.7193 1
Ge1 Ge 0.0000 0.5000 0.3793 1
Ge2 Ge 0.5000 0.5000 0.0000 1
Pd1 Pd 0.0000 0.0000 0.5000 1
Pd2 Pd 0.0000 0.5000 0.1572 1
Pd3 Pd 0.5000 0.5000 0.5000 1
# DFT formation energy   -767.1 kJ/mol of formula units
# Calculated total energy   -5.807 eV/atom
# Total magnetization   0.043 μB/atom

---

(2)
# ScPW (PBE-GGA, relaxed)
data_ScPW
_chemical_formula_sum 'Sc1 P1 W1'
_cell_length_a 4.1110
_cell_length_b 4.1110
_cell_length_c 3.5966
_cell_angle_alpha 90.00
_cell_angle_beta 90.00
_cell_angle_gamma 120.00
_space_group_name_H-M_alt 'P -6 m 2'
_space_group_IT_number 187
_space_group_name_Hall 'P -6 2'
loop_
_atom_site_label
_atom_site_type_symbol
_atom_site_fract_x
_atom_site_fract_y
_atom_site_fract_z
_atom_site_occupancy
Sc1 Sc 0.0000 0.0000 0.0000 1
P1 P 0.3333 0.6667 0.5000 1
W1 W 0.6667 0.3333 0.5000 1
# DFT formation energy   -81.7 kJ/mol of formula units
# Energy above the lowest structure with this stoichiometry   165 meV per atom
# Calculated total energy   -8.514 eV/atom
# Total magnetization   0.000 μB/atom

---

(3)
# Cs2ZnRhCl6 (PBE-GGA, relaxed)
data_Cs2ZnRhCl6
_chemical_formula_sum 'Cs4 Zn2 Rh2 Cl12'
_cell_length_a 7.1391
_cell_length_b 7.1391
_cell_length_c 10.1174
_cell_angle_alpha 90.00
_cell_angle_beta 90.00
_cell_angle_gamma 90.00
_space_group_name_H-M_alt 'I 4/m m m'
_space_group_IT_number 139
_space_group_name_Hall '-I 4 2'
loop_
_atom_site_label
_atom_site_type_symbol
_atom_site_fract_x
_atom_site_fract_y
_atom_site_fract_z
_atom_site_occupancy
Cs1 Cs 0.0000 0.5000 0.2500 1
Zn1 Zn 0.0000 0.0000 0.0000 1
Rh1 Rh 0.0000 0.0000 0.5000 1
Cl1 Cl 0.0000 0.0000 0.2563 1
Cl2 Cl 0.2450 0.2450 0.5000 1
# Calculated total energy   -3.335 eV/atom
# Total magnetization   0.000 μB/atom
# Uncorrected formation energy   -1.194 eV per atom

---

(4)
# MgNi7P2 (PBE-GGA, relaxed)
data_MgNi7P2
_chemical_formula_sum 'Mg2 Ni14 P4'
_cell_length_a 3.6630
_cell_length_b 3.6630
_cell_length_c 17.9738
_cell_angle_alpha 90.00
_cell_angle_beta 90.00
_cell_angle_gamma 90.00
_space_group_name_H-M_alt 'I 4/m m m'
_space_group_IT_number 139
_space_group_name_Hall '-I 4 2'
loop_
_atom_site_label
_atom_site_type_symbol
_atom_site_fract_x
_atom_site_fract_y
_atom_site_fract_z
_atom_site_occupancy
Mg1 Mg 0.0000 0.0000 0.0000 1
Ni1 Ni 0.0000 0.0000 0.5000 1
Ni2 Ni 0.0000 0.5000 0.1049 1
Ni3 Ni 0.0000 0.5000 0.2500 1
P1 P 0.0000 0.0000 0.3271 1
# DFT formation energy   -369.1 kJ/mol of formula units
# Calculated total energy   -5.671 eV/atom
# Total magnetization   0.000 μB/atom

---

(5)
# GdBiRh2 (PBE-GGA, relaxed)
data_GdBiRh2
_chemical_formula_sum 'Gd1 Bi1 Rh2'
_cell_length_a 4.6654
_cell_length_b 4.6654
_cell_length_c 3.6776
_cell_angle_alpha 90.00
_cell_angle_beta 90.00
_cell_angle_gamma 90.00
_space_group_name_H-M_alt 'P 4/m m m'
_space_group_IT_number 123
_space_group_name_Hall '-P 4 2'
loop_
_atom_site_label
_atom_site_type_symbol
_atom_site_fract_x
_atom_site_fract_y
_atom_site_fract_z
_atom_site_occupancy
Gd1 Gd 0.0000 0.0000 0.0000 1
Bi1 Bi 0.5000 0.5000 0.0000 1
Rh1 Rh 0.0000 0.5000 0.5000 1
# DFT formation energy   -201.4 kJ/mol of formula units
# Energy above the lowest structure with this stoichiometry   0 meV per atom
# Calculated total energy   -8.688 eV/atom
# Total magnetization   1.763 μB/atom

---

(6)
# Be2TlSe (PBE-GGA, relaxed)
data_Be2TlSe
_chemical_formula_sum 'Be4 Tl2 Se2'
_cell_length_a 5.8830
_cell_length_b 3.4231
_cell_length_c 6.9666
_cell_angle_alpha 90.00
_cell_angle_beta 105.33
_cell_angle_gamma 90.00
_space_group_name_H-M_alt 'C 1 2/m 1'
_space_group_IT_number 12
_space_group_name_Hall '-C 2y'
loop_
_atom_site_label
_atom_site_type_symbol
_atom_site_fract_x
_atom_site_fract_y
_atom_site_fract_z
_atom_site_occupancy
Be1 Be 0.2287 0.0000 0.2010 1
Tl1 Tl 0.0000 0.0000 0.5000 1
Se1 Se 0.0000 0.5000 0.0000 1
# Energy above the lowest structure with this stoichiometry   195 meV per atom
# Calculated total energy   -3.090 eV/atom
# Total magnetization   0.000 μB/atom
# Uncorrected formation energy   0.235 eV per atom

---

(7)
# CdAgSeN2 (PBE-GGA, relaxed)
data_CdAgSeN2
_chemical_formula_sum 'Cd1 Ag1 Se1 N2'
_cell_length_a 4.2405
_cell_length_b 4.2405
_cell_length_c 5.8384
_cell_angle_alpha 90.00
_cell_angle_beta 90.00
_cell_angle_gamma 90.00
_space_group_name_H-M_alt 'P 4/m m m'
_space_group_IT_number 123
_space_group_name_Hall '-P 4 2'
loop_
_atom_site_label
_atom_site_type_symbol
_atom_site_fract_x
_atom_site_fract_y
_atom_site_fract_z
_atom_site_occupancy
Cd1 Cd 0.0000 0.0000 0.0000 1
Ag1 Ag 0.5000 0.5000 0.5000 1
Se1 Se 0.0000 0.0000 0.5000 1
N1 N 0.0000 0.5000 0.0000 1
# Energy above the lowest structure with this stoichiometry   126 meV per atom
# Calculated total energy   -3.118 eV/atom
# Total magnetization   0.797 μB/atom
# Uncorrected formation energy   1.663 eV per atom

---

(8)
# KZr2Ni (PBE-GGA, relaxed)
data_KZr2Ni
_chemical_formula_sum 'K1 Zr2 Ni1'
_cell_length_a 3.3237
_cell_length_b 3.3237
_cell_length_c 9.3753
_cell_angle_alpha 90.00
_cell_angle_beta 90.00
_cell_angle_gamma 90.00
_space_group_name_H-M_alt 'P 4 m m'
_space_group_IT_number 99
_space_group_name_Hall 'P 4 -2'
loop_
_atom_site_label
_atom_site_type_symbol
_atom_site_fract_x
_atom_site_fract_y
_atom_site_fract_z
_atom_site_occupancy
K1 K 0.0000 0.0000 0.0000 1
Zr1 Zr 0.0000 0.0000 0.4063 1
Zr2 Zr 0.5000 0.5000 0.6245 1
Ni1 Ni 0.5000 0.5000 0.2807 1
# DFT formation energy   70.3 kJ/mol of formula units
# Energy above the lowest structure with this stoichiometry   0 meV per atom
# Calculated total energy   -5.812 eV/atom
# Total magnetization   0.000 μB/atom

---

(9)
# SrGeBr2 (PBE-GGA, relaxed)
data_SrGeBr2
_chemical_formula_sum 'Sr4 Ge4 Br8'
_cell_length_a 7.6953
_cell_length_b 7.6953
_cell_length_c 7.6953
_cell_angle_alpha 90.00
_cell_angle_beta 90.00
_cell_angle_gamma 90.00
_space_group_name_H-M_alt 'F m -3 m'
_space_group_IT_number 225
_space_group_name_Hall '-F 4 2 3'
loop_
_atom_site_label
_atom_site_type_symbol
_atom_site_fract_x
_atom_site_fract_y
_atom_site_fract_z
_atom_site_occupancy
Sr1 Sr 0.0000 0.0000 0.0000 1
Ge1 Ge 0.0000 0.0000 0.5000 1
Br1 Br 0.2500 0.2500 0.2500 1
# Energy above the lowest structure with this stoichiometry   19 meV per atom
# Calculated total energy   -3.146 eV/atom
# Total magnetization   0.334 μB/atom
# Uncorrected formation energy   -0.735 eV per atom

---

(10)
# CaHfMg (PBE-GGA, relaxed)
data_CaHfMg
_chemical_formula_sum 'Ca4 Hf4 Mg4'
_cell_length_a 10.9399
_cell_length_b 3.3443
_cell_length_c 9.4530
_cell_angle_alpha 90.00
_cell_angle_beta 111.96
_cell_angle_gamma 90.00
_space_group_name_H-M_alt 'C 1 m 1'
_space_group_IT_number 8
_space_group_name_Hall 'C -2y'
loop_
_atom_site_label
_atom_site_type_symbol
_atom_site_fract_x
_atom_site_fract_y
_atom_site_fract_z
_atom_site_occupancy
Ca1 Ca 0.0000 0.0000 0.0000 1
Ca2 Ca 0.1782 0.5000 0.8037 1
Hf1 Hf 0.1580 0.5000 0.3188 1
Hf2 Hf 0.3342 0.0000 0.2028 1
Mg1 Mg 0.0014 0.0000 0.4763 1
Mg2 Mg 0.3388 0.0000 0.6128 1
# DFT formation energy   63.2 kJ/mol of formula units
# Energy above the lowest structure with this stoichiometry   46 meV per atom
# Calculated total energy   -4.298 eV/atom
# Total magnetization   0.000 μB/atom

---

(11)
# ReWSe (PBE-GGA, relaxed)
data_ReWSe
_chemical_formula_sum 'Re1 W1 Se1'
_cell_length_a 4.2850
_cell_length_b 4.2850
_cell_length_c 2.9645
_cell_angle_alpha 90.00
_cell_angle_beta 90.00
_cell_angle_gamma 120.00
_space_group_name_H-M_alt 'P -6 m 2'
_space_group_IT_number 187
_space_group_name_Hall 'P -6 2'
loop_
_atom_site_label
_atom_site_type_symbol
_atom_site_fract_x
_atom_site_fract_y
_atom_site_fract_z
_atom_site_occupancy
Re1 Re 0.0000 0.0000 0.0000 1
W1 W 0.6667 0.3333 0.5000 1
Se1 Se 0.3333 0.6667 0.0000 1
# Energy above the lowest structure with this stoichiometry   110 meV per atom
# Calculated total energy   -9.195 eV/atom
# Total magnetization   0.000 μB/atom
# Uncorrected formation energy   0.434 eV per atom

---

(12)
# Ba2CeGe3Pt4 (PBE-GGA, relaxed)
data_Ba2CeGe3Pt4
_chemical_formula_sum 'Ba2 Ce1 Ge3 Pt4'
_cell_length_a 4.5465
_cell_length_b 4.5465
_cell_length_c 11.0740
_cell_angle_alpha 90.00
_cell_angle_beta 90.00
_cell_angle_gamma 90.00
_space_group_name_H-M_alt 'P -4 m 2'
_space_group_IT_number 115
_space_group_name_Hall 'P -4 -2'
loop_
_atom_site_label
_atom_site_type_symbol
_atom_site_fract_x
_atom_site_fract_y
_atom_site_fract_z
_atom_site_occupancy
Ba1 Ba 0.0000 0.5000 0.2325 1
Ce1 Ce 0.0000 0.0000 0.5000 1
Ge1 Ge 0.0000 0.5000 0.8872 1
Ge2 Ge 0.5000 0.5000 0.5000 1
Pt1 Pt 0.0000 0.0000 0.0000 1
Pt2 Pt 0.0000 0.5000 0.6529 1
Pt3 Pt 0.5000 0.5000 0.0000 1
# DFT formation energy   -763.9 kJ/mol of formula units
# Calculated total energy   -5.571 eV/atom
# Total magnetization   0.058 μB/atom

---

What is the total magnetization in the eighth record?
0.000 μB/atom

---

Which value of total magnetization does entry 9 give?
0.334 μB/atom

---

total magnetization of number 8 (KZr2Ni)?
0.000 μB/atom

---

Look up the total magnetization of the fifth one.
1.763 μB/atom